Be2Nb2Pb (PBE, relaxed); calculated total energy = -6.167 eV per atom; formation energy = 9 kJ/mol of atoms; DOS(E_F) = 0.5992 states/eV/atom; calculated density = 9.017 g/cm3
1.0
-3.126 -5.543 -0.957
0.738 -1.489 6.217
-3.168 1.654 0.772
Pb Be Nb
2 4 4
Direct
0.000 0.000 0.000
0.500 0.500 0.000
0.389 0.889 0.000
0.889 0.611 0.000
0.611 0.111 0.000
0.111 0.389 0.000
0.174 0.674 0.500
0.674 0.826 0.500
0.826 0.326 0.500
0.326 0.174 0.500


TaRe3Rh (PBE, relaxed); calculated total energy = -9.181 eV per atom; formation energy = 205 kJ/mol of atoms; DOS(E_F) = 1.8937 states/eV/atom; calculated density = 14.247 g/cm3; energy relative to the lowest polymorph listed for this composition = 0 meV per atom
1.0
-3.526 2.747 1.144
0.999 -0.579 4.467
2.803 3.661 -0.152
Re Rh Ta
3 1 1
Direct
0.000 0.500 0.000
0.000 0.000 0.500
0.500 0.000 0.000
0.000 0.000 0.000
0.500 0.500 0.500


HfTaMo2 (PBE, relaxed); calculated total energy = -10.954 eV per atom; formation energy = -8 kJ/mol of atoms; DOS(E_F) = 1.4207 states/eV/atom; calculated density = 13.081 g/cm3; energy relative to the lowest polymorph listed for this composition = 13 meV per atom
1.0
-0.652 -1.769 2.676
3.921 -2.372 -0.613
2.271 3.083 2.592
Mo Hf Ta
2 1 1
Direct
0.000 0.000 0.500
0.000 0.500 0.000
0.500 0.500 0.500
0.500 0.000 0.000


EuYZnSi (PBE, relaxed); calculated total energy = -6.257 eV per atom; DOS(E_F) = 0.6940 states/eV/atom; calculated density = 5.948 g/cm3; uncorrected formation energy = -0.40 eV/atom
1.0
5.092 0.000 0.000
2.546 4.410 0.000
2.546 1.470 4.157
Eu Y Zn Si
1 1 1 1
Direct
0.500 0.500 0.500
0.000 0.000 0.000
0.250 0.250 0.250
0.750 0.750 0.750


Sm2Ga4Cu3Hg (PBE, relaxed); calculated total energy = -3.825 eV per atom; formation energy = -40 kJ/mol of atoms; DOS(E_F) = 0.4495 states/eV/atom; calculated density = 8.588 g/cm3
1.0
4.246 0.000 0.000
0.000 4.246 0.000
0.000 0.000 10.412
Sm Ga Cu Hg
2 4 3 1
Direct
0.500 0.000 0.241
0.000 0.500 0.759
0.500 0.500 0.000
0.000 0.000 0.000
0.500 0.000 0.651
0.000 0.500 0.349
0.000 0.000 0.500
0.500 0.000 0.878
0.000 0.500 0.122
0.500 0.500 0.500


LaMg4Te (PBE, relaxed); calculated total energy = -2.524 eV per atom; DOS(E_F) = 0.8043 states/eV/atom; calculated density = 3.764 g/cm3; uncorrected formation energy = -0.12 eV/atom
1.0
0.000 4.313 4.313
4.313 0.000 4.313
4.313 4.313 0.000
La Mg Te
1 4 1
Direct
0.000 0.000 0.000
0.875 0.375 0.375
0.375 0.375 0.875
0.375 0.875 0.375
0.375 0.375 0.375
0.750 0.750 0.750


VCdRhBr2 (PBE, relaxed); calculated total energy = -2.849 eV per atom; DOS(E_F) = 2.2804 states/eV/atom; calculated density = 4.943 g/cm3; uncorrected formation energy = 1.30 eV/atom
1.0
-3.213 -2.144 3.546
-0.027 -4.443 -2.712
4.144 -1.692 2.732
V Rh Br Cd
1 1 2 1
Direct
0.500 0.500 0.500
0.000 0.500 0.000
0.000 0.000 0.500
0.500 0.000 0.000
0.000 0.000 0.000


DyHoTm2In4 (PBE, relaxed); calculated total energy = -4.075 eV per atom; formation energy = -42 kJ/mol of atoms; DOS(E_F) = 0.5152 states/eV/atom; calculated density = 8.949 g/cm3
1.0
5.280 0.000 0.000
2.640 4.573 0.000
2.640 1.524 8.643
Dy Ho Tm In
1 1 2 4
Direct
0.000 0.000 0.000
0.500 0.500 0.500
0.750 0.750 0.750
0.250 0.250 0.250
0.375 0.375 0.874
0.875 0.875 0.376
0.125 0.125 0.624
0.625 0.625 0.126


CsScCuSe2 (PBE, relaxed); calculated total energy = -4.624 eV per atom; DOS(E_F) = 0.6113 states/eV/atom; calculated density = 4.566 g/cm3; uncorrected formation energy = -0.97 eV/atom
1.0
-2.423 -4.102 -3.409
2.374 -5.667 5.132
-6.027 2.235 1.594
Cs Sc Cu Se
2 2 2 4
Direct
0.226 0.500 0.750
0.774 0.500 0.250
0.506 0.000 0.250
0.494 0.000 0.750
0.000 0.000 0.000
0.000 0.000 0.500
0.722 0.782 0.900
0.722 0.218 0.600
0.278 0.782 0.400
0.278 0.218 0.100


Tm3Ge2Ir (PBE, relaxed); calculated total energy = -6.124 eV per atom; formation energy = -84 kJ/mol of atoms; DOS(E_F) = 0.5365 states/eV/atom; calculated density = 10.432 g/cm3
1.0
-3.851 -1.402 0.880
4.173 -9.980 2.363
1.366 3.188 11.051
Tm Ge Ir
12 8 4
Direct
0.250 0.372 0.054
0.750 0.628 0.946
0.750 0.872 0.446
0.250 0.128 0.554
0.250 0.703 0.227
0.750 0.297 0.773
0.750 0.203 0.273
0.250 0.797 0.727
0.250 0.446 0.379
0.750 0.554 0.621
0.750 0.946 0.121
0.250 0.054 0.879
0.250 0.690 0.495
0.750 0.310 0.505
0.750 0.190 0.005
0.250 0.810 0.995
0.250 0.996 0.313
0.750 0.004 0.687
0.750 0.496 0.187
0.250 0.504 0.813
0.250 0.128 0.129
0.750 0.872 0.871
0.750 0.628 0.371
0.250 0.372 0.629


Ta3Cl (PBE, relaxed); calculated total energy = -8.830 eV per atom; DOS(E_F) = 0.9124 states/eV/atom; calculated density = 13.181 g/cm3; uncorrected formation energy = 0.52 eV/atom; energy relative to the lowest polymorph listed for this composition = 433 meV per atom
1.0
5.167 0.004 0.045
4.285 2.888 0.045
0.974 0.298 4.896
Cl Ta
1 3
Direct
0.000 0.000 0.000
0.500 0.500 0.500
0.747 0.747 0.741
0.253 0.253 0.259


Ba3MgOs2O9 (PBE, relaxed); calculated total energy = -6.995 eV per atom; DOS(E_F) = 0.3649 states/eV/atom; calculated density = 7.890 g/cm3; uncorrected formation energy = -2.03 eV/atom
1.0
-2.975 1.059 4.813
5.332 -2.145 0.326
2.619 6.538 0.181
Ba Mg Os O
3 1 2 9
Direct
0.333 0.667 0.656
0.000 0.000 0.000
0.667 0.333 0.344
0.000 0.000 0.500
0.333 0.667 0.160
0.667 0.333 0.840
0.827 0.173 0.677
0.827 0.653 0.677
0.347 0.173 0.677
0.653 0.827 0.323
0.173 0.347 0.323
0.173 0.827 0.323
0.500 0.000 0.000
0.000 0.500 0.000
0.500 0.500 0.000


no.,total moment (μB per formula unit)
1,0.00
2,0.00
3,0.00
4,7.30
5,0.00
6,0.00
7,0.12
8,0.00
9,0.77
10,0.00
11,0.00
12,0.00